The following is a DFT calculation (PBE) of an optimized crystal structure of AcMgPH2.

Cell and atoms, written as POSCAR:
```
AcMgPH2
1.0
4.175 0.000 0.000
0.000 4.175 0.000
0.000 0.000 5.326
Ac Mg P H
1 1 1 2
Cartesian
0.000 0.000 0.000
2.088 2.088 2.053
2.088 2.088 4.584
0.000 2.088 1.675
2.088 0.000 1.675
```

Calculated values
SG: P4mm, No. 99

The following is a DFT calculation (PBE) of an optimized crystal structure of Ac2MgHPt6.

Cell and atoms, written as POSCAR:
```
Ac2MgHPt6
1.0
2.925 1.689 6.421
-2.925 1.689 6.421
0.000 -3.377 6.421
Ac Mg H Pt
2 1 1 6
Cartesian
0.000 0.000 4.295
0.000 0.000 14.968
0.000 0.000 9.631
0.000 0.000 0.000
0.000 -1.659 7.575
-1.437 0.830 7.575
-1.437 -0.830 11.687
1.437 0.830 7.575
1.437 -0.830 11.687
0.000 1.659 11.687
```

Calculated values
D(E_F), states/eV/f.u.: 3.734
SG: R-3m, No. 166

The following is a DFT calculation (PBE) of an optimized crystal structure of AcMgH6Pt3.

Cell and atoms, written as POSCAR:
```
AcMgH6Pt3
1.0
3.606 2.082 2.882
-3.606 2.082 2.882
0.000 -4.164 2.882
Ac Mg H Pt
1 1 6 3
Cartesian
0.000 0.000 0.000
0.000 0.000 5.180
-2.547 0.078 4.352
1.206 -2.245 4.352
-0.848 -1.481 6.409
-0.858 1.475 6.409
1.341 2.167 4.352
1.707 0.006 6.409
-1.498 -0.541 3.029
1.218 -1.027 3.029
0.280 1.568 3.029
```

Calculated values
D(E_F), states/eV/f.u.: 2.910
SG: R3, No. 146

The following is a DFT calculation (PBE) of an optimized crystal structure of AcMgH8Pt2.

Cell and atoms, written as POSCAR:
```
AcMgH8Pt2
1.0
2.503 1.445 6.062
-2.503 1.445 6.062
0.000 -2.890 6.062
Ac Mg H Pt
1 1 8 2
Cartesian
0.000 0.000 0.000
0.000 0.000 9.093
-0.812 -1.440 7.940
-1.653 -0.017 10.246
0.000 0.000 5.870
-0.841 1.423 7.940
0.841 -1.423 10.246
0.000 0.000 12.317
1.653 0.017 7.940
0.812 1.440 10.246
0.000 0.000 4.262
0.000 0.000 13.924
```

Calculated values
D(E_F), states/eV/f.u.: 2.181
SG: R-3, No. 148

The following is a DFT calculation (PBE) of an optimized crystal structure of AcMgH6Pt2.

Cell and atoms, written as POSCAR:
```
AcMgH6Pt2
1.0
2.339 1.350 5.716
-2.339 1.350 5.716
0.000 -2.701 5.716
Ac Mg H Pt
1 1 6 2
Cartesian
0.000 0.000 0.000
0.000 0.000 8.574
-1.135 -0.655 6.899
0.000 -1.310 10.248
-1.135 0.655 10.248
1.135 -0.655 6.899
0.000 1.310 6.899
1.135 0.655 10.248
0.000 0.000 3.587
0.000 0.000 13.560
```

Calculated values
D(E_F), states/eV/f.u.: 2.248
SG: R-3m, No. 166

The following is a DFT calculation (PBE) of an optimized crystal structure of Ac2Mg4Sn3H2.

Cell and atoms, written as POSCAR:
```
Ac2Mg4Sn3H2
1.0
-2.327 2.327 12.293
2.327 -2.327 12.293
2.327 2.327 -12.293
Ac Mg Sn H
2 4 3 2
Cartesian
0.000 0.000 4.674
0.000 0.000 19.913
2.327 0.000 1.838
2.327 0.000 10.456
0.000 2.327 1.838
0.000 2.327 10.456
0.000 0.000 8.331
0.000 0.000 12.293
0.000 0.000 16.256
0.000 0.000 2.154
0.000 0.000 22.433
```

Calculated values
D(E_F), states/eV/f.u.: 4.131
SG: I4/mmm, No. 139

The following is a DFT calculation (PBE) of an optimized crystal structure of AcMgTlH.

Cell and atoms, written as POSCAR:
```
AcMgTlH
1.0
4.651 0.000 0.000
0.000 4.651 0.000
0.000 0.000 8.600
Ac Mg Tl H
2 2 2 2
Cartesian
1.163 1.163 1.202
3.488 3.488 7.397
1.163 3.488 4.300
3.488 1.163 4.300
1.163 1.163 6.158
3.488 3.488 2.441
1.163 3.488 0.000
3.488 1.163 0.000
```

Calculated values
D(E_F), states/eV/f.u.: 2.202
SG: P4/nmm, No. 129

The following is a DFT calculation (PBE) of an optimized crystal structure of AcMn2H8.

Cell and atoms, written as POSCAR:
```
AcMn2H8
1.0
2.519 -4.183 0.000
2.519 4.183 0.000
0.000 0.000 3.991
Ac Mn H
1 2 8
Cartesian
0.000 0.000 0.000
2.519 1.437 1.995
2.519 -1.437 1.995
0.867 1.253 1.995
2.519 1.559 0.000
0.867 -1.253 1.995
2.519 0.000 1.084
2.519 0.000 2.907
4.171 1.253 1.995
2.519 -1.559 0.000
4.171 -1.253 1.995
```

Calculated values
D(E_F), states/eV/f.u.: 3.043
Excess energy over the best structure of this formula in the dataset, kJ per mole of atoms: 0.0
SG: Cmmm, No. 65

The following is a DFT calculation (PBE) of an optimized crystal structure of Ac2MnH.

Cell and atoms, written as POSCAR:
```
Ac2MnH
1.0
1.863 1.075 9.495
-1.863 1.075 9.495
0.000 -2.151 9.495
Ac Mn H
2 1 1
Cartesian
0.000 0.000 3.124
0.000 0.000 25.361
0.000 0.000 0.000
0.000 0.000 14.243
```

Calculated values
D(E_F), states/eV/f.u.: 4.143
SG: R-3m, No. 166

The following is a DFT calculation (PBE) of an optimized crystal structure of AcMn2H8.

Cell and atoms, written as POSCAR:
```
AcMn2H8
1.0
-1.994 1.994 5.783
1.994 -1.994 5.783
1.994 1.994 -5.783
Ac Mn H
1 2 8
Cartesian
0.000 0.000 0.000
1.994 0.000 2.891
0.000 1.994 2.891
1.079 1.079 -1.921
0.915 -0.915 3.862
1.079 1.079 1.921
0.915 -0.915 7.703
-0.915 0.915 3.862
0.915 0.915 3.862
-0.915 0.915 7.703
0.915 0.915 7.703
```

Calculated values
D(E_F), states/eV/f.u.: 3.474
Excess energy over the best structure of this formula in the dataset, kJ per mole of atoms: 8.7
SG: I4/mmm, No. 139

The evaluated total DFT energy (no corrections) for the records listed, in turn: -21.09, -56.82, -48.18, -47.11, -42.75, -37.30, -26.07, -50.93, -18.68, -49.93 eV per cell.